No. 1
Entry from the Alexandria database: crystalline Sm2HgAuO5 at its relaxed geometry (PBE).

Output
size of the total moment: 0.00 μB per cell

Cell and atoms, written as CIF:
```
data_Sm2HgAuO5
_cell_length_a 6.870
_cell_length_b 6.870
_cell_length_c 5.830
_cell_angle_alpha 90.00
_cell_angle_beta 90.00
_cell_angle_gamma 90.00
_symmetry_space_group_name_H-M 'P 4/m b m'
_symmetry_Int_Tables_number 127
_symmetry_space_group_name_Hall '-P 4 2ab'
loop_
_atom_site_label
_atom_site_type_symbol
_atom_site_fract_x
_atom_site_fract_y
_atom_site_fract_z
_atom_site_occupancy
Sm1 Sm 0.176 0.324 0.000 1
Hg1 Hg 0.000 0.000 0.500 1
Au1 Au 0.000 0.500 0.500 1
O1 O 0.000 0.000 0.000 1
O2 O 0.131 0.631 0.233 1
```

No. 2
Entry from the Alexandria database: crystalline HfSc2Al3 at its relaxed geometry (PBE).

Output
energy of formation from the pure elements: -403 meV per atom
size of the total moment: 0.89 μB per cell

Cell and atoms, written as CIF:
```
data_HfSc2Al3
_cell_length_a 4.322
_cell_length_b 8.246
_cell_length_c 12.909
_cell_angle_alpha 90.00
_cell_angle_beta 90.00
_cell_angle_gamma 90.00
_symmetry_space_group_name_H-M 'I m m a'
_symmetry_Int_Tables_number 74
_symmetry_space_group_name_Hall '-I 2b 2'
loop_
_atom_site_label
_atom_site_type_symbol
_atom_site_fract_x
_atom_site_fract_y
_atom_site_fract_z
_atom_site_occupancy
Hf1 Hf 0.000 0.250 0.167 1
Sc1 Sc 0.000 0.250 0.499 1
Sc2 Sc 0.000 0.250 0.834 1
Al1 Al 0.000 0.000 0.000 1
Al2 Al 0.000 0.003 0.332 1
```

No. 3
Entry from the Alexandria database: crystalline In2Pt2Au at its relaxed geometry (PBE).

Output
ΔE to the lowest computed polymorph: 0 meV/atom
energy of formation from the pure elements: -361 meV per atom
size of the total moment: 0.00 μB per cell

Cell and atoms, written as CIF:
```
data_In2Pt2Au
_cell_length_a 7.376
_cell_length_b 7.376
_cell_length_c 3.507
_cell_angle_alpha 90.00
_cell_angle_beta 90.00
_cell_angle_gamma 90.00
_symmetry_space_group_name_H-M 'P 4/m b m'
_symmetry_Int_Tables_number 127
_symmetry_space_group_name_Hall '-P 4 2ab'
loop_
_atom_site_label
_atom_site_type_symbol
_atom_site_fract_x
_atom_site_fract_y
_atom_site_fract_z
_atom_site_occupancy
In1 In 0.161 0.339 0.000 1
Pt1 Pt 0.140 0.640 0.500 1
Au1 Au 0.000 0.000 0.500 1
```

Number 1: raw total energy -108.6 eV per cell. Number 2: raw total energy -145.0 eV per cell. Number 3: raw total energy -45.3 eV per cell.